# 1
First-principles (PBE-GGA) data for crystalline CeAl4Ag2Pd at its relaxed geometry, as listed in Alexandria.

Lattice parameters (Å, degrees): 9.2572 9.2572 9.2572 27.49 27.49 27.49
Fractional coordinates of all 8 atoms:
Ce 0.0000 0.0000 0.0000
Al 0.1316 0.1316 0.1316
Al 0.4022 0.4022 0.4022
Al 0.5978 0.5978 0.5978
Al 0.8684 0.8684 0.8684
Ag 0.2423 0.2423 0.2423
Ag 0.7577 0.7577 0.7577
Pd 0.5000 0.5000 0.5000

Calculated values
calculated density: 6.3 Mg/m³
total magnetic moment: 0.7 Bohr magnetons per cell
symmetry: No. 166
density of states at the Fermi level: 0.94 states/eV per atom
E_form: -35 kJ per mole of atoms
V: 149.2 Å³/f.u.
crystal system: trigonal

***

# 2
First-principles (PBE-GGA) data for crystalline CeAlAgPd at its relaxed geometry, as listed in Alexandria.

Lattice parameters (Å, degrees): 6.8606 6.8606 6.8606 90.00 90.00 90.00
Fractional coordinates of all 16 atoms:
Ce 0.0000 0.0000 0.0000
Ce 0.0000 0.5000 0.5000
Ce 0.5000 0.0000 0.5000
Ce 0.5000 0.5000 0.0000
Al 0.0000 0.0000 0.5000
Al 0.0000 0.5000 0.0000
Al 0.5000 0.0000 0.0000
Al 0.5000 0.5000 0.5000
Ag 0.2500 0.2500 0.7500
Ag 0.2500 0.7500 0.2500
Ag 0.7500 0.2500 0.2500
Ag 0.7500 0.7500 0.7500
Pd 0.2500 0.2500 0.2500
Pd 0.2500 0.7500 0.7500
Pd 0.7500 0.2500 0.7500
Pd 0.7500 0.7500 0.2500

Calculated values
calculated density: 7.8 Mg/m³
total magnetic moment: 2.3 Bohr magnetons per cell
symmetry: No. 216
density of states at the Fermi level: 1.65 states/eV per atom
E_form: -39 kJ per mole of atoms
V: 80.7 Å³/f.u.
crystal system: cubic